Entry from Alexandria: crystalline LiPmHg at its relaxed geometry (GGA-PBE).

Summary:
Space-group type = F-43m (216)
E_tot = -2.4385 eV/atom
Energy above the lowest structure with this stoichiometry = 234 meV per atom
Energy of formation = -116.4 meV per atom
Magnetic moment = 0.43 μB/f.u.

Cell lengths 4.9656, 4.9656, 4.9656 Å; angles 60.00, 60.00, 60.00 degrees
Last column: magnetic moment on the atom in μB.
Fractional coordinates of all 3 atoms:
Li  0.5000  0.5000  0.5000  0.01
Hg  0.2500  0.2500  0.2500  0.05
Pm  0.0000  0.0000  0.0000  0.14


Entry from Alexandria: crystalline LiPmHg at its relaxed geometry (GGA-PBE).

Summary:
Space-group type = I4mm (107)
E_tot = -2.5849 eV/atom
Energy above the lowest structure with this stoichiometry = 87 meV per atom
Energy of formation = -262.8 meV per atom
Magnetic moment = 0.05 μB/f.u.

Cell lengths 3.8328, 3.8328, 5.6493 Å; angles 109.83, 109.83, 90.00 degrees
Fractional coordinates of all 3 atoms:
Li  0.9688  0.9688  0.9375
Hg  0.6017  0.6017  0.2034
Pm  0.2796  0.2796  0.5591


Entry from Alexandria: crystalline Li3Pm2Hg3 at its relaxed geometry (GGA-PBE).

Summary:
Space-group type = P6_3/mcm (193)
E_tot = -2.2866 eV/atom
Energy of formation = -268.1 meV per atom
Magnetic moment = 0.00 μB/f.u.

Cell lengths 6.5766, 8.6076, 8.6075 Å; angles 60.00, 90.00, 90.00 degrees
Fractional coordinates of all 16 atoms:
Li  0.7500  0.0000  0.2664
Li  0.7500  0.2665  0.7336
Li  0.7500  0.7335  0.0000
Li  0.2500  0.0000  0.7336
Li  0.2500  0.7335  0.2664
Li  0.2500  0.2665  0.0000
Pm  0.0000  0.3333  0.3333
Pm  0.5000  0.6667  0.6667
Pm  0.0000  0.6667  0.6667
Pm  0.5000  0.3333  0.3333
Hg  0.7500  0.0000  0.6355
Hg  0.7500  0.6355  0.3645
Hg  0.7500  0.3645  0.0000
Hg  0.2500  0.0000  0.3645
Hg  0.2500  0.3645  0.6355
Hg  0.2500  0.6355  0.0000


Entry from Alexandria: crystalline LiPm3Hg12 at its relaxed geometry (GGA-PBE).

Summary:
Space-group type = P4/mmm (123)
E_tot = -1.5569 eV/atom
Energy of formation = -320.2 meV per atom
Magnetic moment = 0.00 μB/f.u.

Cell lengths 4.6430, 4.6430, 18.4170 Å; angles 90.00, 90.00, 90.00 degrees
Fractional coordinates of all 16 atoms:
Li  0.0000  0.0000  0.0000
Pm  0.0000  0.0000  0.2376
Pm  0.0000  0.0000  0.5000
Pm  0.0000  0.0000  0.7624
Hg  0.5000  0.5000  0.0000
Hg  0.5000  0.5000  0.2449
Hg  0.5000  0.5000  0.5000
Hg  0.5000  0.5000  0.7551
Hg  0.5000  0.0000  0.1151
Hg  0.5000  0.0000  0.3711
Hg  0.5000  0.0000  0.6289
Hg  0.5000  0.0000  0.8849
Hg  0.0000  0.5000  0.1151
Hg  0.0000  0.5000  0.3711
Hg  0.0000  0.5000  0.6289
Hg  0.0000  0.5000  0.8849


Entry from Alexandria: crystalline LiPm2Hg8 at its relaxed geometry (GGA-PBE).

Summary:
Space-group type = C2/m (12)
E_tot = -1.5708 eV/atom
Energy of formation = -313.6 meV per atom
Magnetic moment = 0.00 μB/f.u.

Cell lengths 5.0772, 7.0368, 8.6725 Å; angles 113.78, 107.02, 90.00 degrees
Fractional coordinates of all 11 atoms:
Li  0.5000  0.0000  0.0000
Pm  0.8004  0.3013  0.6009
Pm  0.1996  0.6987  0.3991
Hg  0.3724  0.5949  0.7449
Hg  0.6287  0.8521  0.2574
Hg  0.8351  0.8350  0.6702
Hg  0.9997  0.2778  0.9995
Hg  0.1649  0.1650  0.3298
Hg  0.3713  0.1479  0.7426
Hg  0.6276  0.4051  0.2551
Hg  0.0003  0.7222  0.0005


Entry from Alexandria: crystalline LiPmHg4 at its relaxed geometry (GGA-PBE).

Summary:
Space-group type = F-43m (216)
E_tot = -1.4670 eV/atom
Energy above the lowest structure with this stoichiometry = 175 meV per atom
Energy of formation = -155.0 meV per atom
Magnetic moment = 0.00 μB/f.u.

Cell lengths 5.9450, 5.9450, 5.9450 Å; angles 60.00, 60.00, 60.00 degrees
Fractional coordinates of all 6 atoms:
Li  0.2500  0.2500  0.2500
Hg  0.6248  0.6248  0.1255
Hg  0.6248  0.1255  0.6248
Hg  0.6248  0.6248  0.6248
Hg  0.1255  0.6248  0.6248
Pm  0.0000  0.0000  0.0000